Entry 1:
First-principles (PBE) data for crystalline SiBP2Au at its relaxed geometry, as listed in Alexandria.

a b c (Å): 3.343 5.292 5.617
angles (deg): 67.29 87.15 72.07
Space group P1 (No. 1)
One atom of each set of equivalent atoms:
Si1 0.000 0.000 0.000 (multiplicity 1)
B1 0.952 0.952 0.368 (multiplicity 1)
P1 0.380 0.076 0.482 (multiplicity 1)
P2 0.626 0.772 0.882 (multiplicity 1)
Au1 0.019 0.466 0.639 (multiplicity 1)

As for the energy above the most stable polymorph in this dataset: 0.243 eV per atom. The value obtained for the total moment is 0.00 μB per cell. The value obtained for the uncorrected formation energy is 0.139 eV/atom.

Entry 2:
First-principles (PBE) data for crystalline ZnReNi at its relaxed geometry, as listed in Alexandria.

a b c (Å): 4.700 7.739 8.868
angles (deg): 90.00 90.00 90.00
Space group Fmmm (No. 69)
One atom of each set of equivalent atoms:
Zn1 0.000 0.000 0.144 (multiplicity 8)
Re1 0.000 0.164 0.500 (multiplicity 8)
Ni1 0.250 0.250 0.250 (multiplicity 8)

As for the energy above the most stable polymorph in this dataset: 0.000 eV per atom. The value obtained for the total moment is 0.00 μB per cell.

Entry 3:
First-principles (PBE) data for crystalline Tl2Ag2Hg at its relaxed geometry, as listed in Alexandria.

a b c (Å): 7.615 7.615 4.296
angles (deg): 90.00 90.00 90.00
Space group P4/mbm (No. 127)
One atom of each set of equivalent atoms:
Tl1 0.168 0.332 0.000 (multiplicity 4)
Ag1 0.134 0.634 0.500 (multiplicity 4)
Hg1 0.000 0.000 0.500 (multiplicity 2)

As for the energy above the most stable polymorph in this dataset: 0.000 eV per atom. The value obtained for the total moment is 0.00 μB per cell.

Entry 4:
First-principles (PBE) data for crystalline LiIn8Sn2 at its relaxed geometry, as listed in Alexandria.

a b c (Å): 12.378 9.345 5.437
angles (deg): 90.00 96.64 90.00
Space group C2/m (No. 12)
One atom of each set of equivalent atoms:
Li1 0.000 0.000 0.000 (multiplicity 2)
In1 0.083 0.273 0.811 (multiplicity 8)
In2 0.110 0.500 0.358 (multiplicity 4)
In3 0.245 0.000 0.081 (multiplicity 4)
Sn1 0.125 0.000 0.534 (multiplicity 4)

As for the energy above the most stable polymorph in this dataset: 0.032 eV per atom. The value obtained for the total moment is 0.00 μB per cell.

Entry 5:
First-principles (PBE) data for crystalline ScGeAs2Br at its relaxed geometry, as listed in Alexandria.

a b c (Å): 5.196 5.196 5.106
angles (deg): 90.00 90.00 90.00
Space group P4/mmm (No. 123)
One atom of each set of equivalent atoms:
Sc1 0.000 0.000 0.000 (multiplicity 1)
Ge1 0.500 0.500 0.500 (multiplicity 1)
As1 0.000 0.500 0.000 (multiplicity 2)
Br1 0.000 0.000 0.500 (multiplicity 1)

As for the energy above the most stable polymorph in this dataset: 0.000 eV per atom. The value obtained for the total moment is 0.00 μB per cell. The value obtained for the uncorrected formation energy is 0.089 eV/atom.

Entry 6:
First-principles (PBE) data for crystalline MgMnGaSiS at its relaxed geometry, as listed in Alexandria.

a b c (Å): 4.0881 4.0881 18.3459
angles (deg): 90.00 90.00 120.00
Space group R3m (No. 160, hexagonal axes)
One atom of each set of equivalent atoms:
Mg1 0.0000 0.0000 0.0000 (multiplicity 3)
Mn1 0.0000 0.0000 0.8490 (multiplicity 3)
Ga1 0.0000 0.0000 0.5071 (multiplicity 3)
Si1 0.0000 0.0000 0.2207 (multiplicity 3)
S1 0.0000 0.0000 0.7230 (multiplicity 3)

As for the energy above the most stable polymorph in this dataset: 0.045 eV per atom. The value obtained for the total moment is 2.71 μB per cell. The value obtained for the uncorrected formation energy is -0.274 eV/atom.

Entry 7:
First-principles (PBE) data for crystalline AcTb2PrSm at its relaxed geometry, as listed in Alexandria.

a b c (Å): 6.629 17.519 6.511
angles (deg): 90.00 90.00 90.00
Space group Cmcm (No. 63)
One atom of each set of equivalent atoms:
Ac1 0.000 0.157 0.250 (multiplicity 4)
Tb1 0.243 0.500 0.000 (multiplicity 8)
Pr1 0.000 0.347 0.250 (multiplicity 4)
Sm1 0.000 0.280 0.750 (multiplicity 4)

The value obtained for the total moment is 0.00 μB per cell. The total energy is -4.218 eV/atom.

Entry 8:
First-principles (PBE) data for crystalline HgTeMoN2 at its relaxed geometry, as listed in Alexandria.

a b c (Å): 4.074 4.074 5.998
angles (deg): 90.00 90.00 90.00
Space group P4/mmm (No. 123)
One atom of each set of equivalent atoms:
Hg1 0.000 0.000 0.000 (multiplicity 1)
Te1 0.000 0.000 0.500 (multiplicity 1)
Mo1 0.500 0.500 0.500 (multiplicity 1)
N1 0.000 0.500 0.000 (multiplicity 2)

As for the energy above the most stable polymorph in this dataset: 2.017 eV per atom. The value obtained for the total moment is 0.09 μB per cell. The value obtained for the uncorrected formation energy is 2.494 eV/atom.

What is the total moment in the fourth record? 0.00 μB per cell